(1)
# TlPPb2 (GGA-PBE, optimized geometry)
data_TlPPb2
_chemical_formula_sum 'Tl2 P2 Pb4'
_cell_length_a 6.8410
_cell_length_b 10.8831
_cell_length_c 3.3236
_cell_angle_alpha 90.00
_cell_angle_beta 117.23
_cell_angle_gamma 90.00
_symmetry_space_group_name_H-M 'C 1 2/m 1'
_symmetry_Int_Tables_number 12
_symmetry_space_group_name_Hall '-C 2y'
loop_
_atom_site_label
_atom_site_type_symbol
_atom_site_fract_x
_atom_site_fract_y
_atom_site_fract_z
Tl1 Tl 0.0000 0.0000 0.0000
P1 P 0.0000 0.5000 0.0000
Pb1 Pb 0.2500 0.2500 0.5000
# Energy relative to the lowest polymorph listed for this composition (meV per atom): 234
# ΔE_f (eV/atom): 0.31


(2)
# TlP2Pb (GGA-PBE, optimized geometry)
data_TlP2Pb
_chemical_formula_sum 'Tl1 P2 Pb1'
_cell_length_a 3.2347
_cell_length_b 3.2347
_cell_length_c 9.4156
_cell_angle_alpha 90.00
_cell_angle_beta 90.00
_cell_angle_gamma 90.00
_symmetry_space_group_name_H-M 'P 4 m m'
_symmetry_Int_Tables_number 99
_symmetry_space_group_name_Hall 'P 4 -2'
loop_
_atom_site_label
_atom_site_type_symbol
_atom_site_fract_x
_atom_site_fract_y
_atom_site_fract_z
Tl1 Tl 0.0000 0.0000 0.0000
P1 P 0.0000 0.0000 0.3149
P2 P 0.5000 0.5000 0.3818
Pb1 Pb 0.5000 0.5000 0.6821
# Energy relative to the lowest polymorph listed for this composition (meV per atom): 36
# ΔE_f (eV/atom): 0.12


(3)
# Tl2PPb (GGA-PBE, optimized geometry)
data_Tl2PPb
_chemical_formula_sum 'Tl2 P1 Pb1'
_cell_length_a 3.7912
_cell_length_b 3.7912
_cell_length_c 7.4243
_cell_angle_alpha 90.00
_cell_angle_beta 90.00
_cell_angle_gamma 90.00
_symmetry_space_group_name_H-M 'P 4/m m m'
_symmetry_Int_Tables_number 123
_symmetry_space_group_name_Hall '-P 4 2'
loop_
_atom_site_label
_atom_site_type_symbol
_atom_site_fract_x
_atom_site_fract_y
_atom_site_fract_z
Tl1 Tl 0.0000 0.0000 0.2105
P1 P 0.5000 0.5000 0.0000
Pb1 Pb 0.5000 0.5000 0.5000
# Energy relative to the lowest polymorph listed for this composition (meV per atom): 160
# ΔE_f (eV/atom): 0.24


(4)
# TlPPb2 (GGA-PBE, optimized geometry)
data_TlPPb2
_chemical_formula_sum 'Tl4 P4 Pb8'
_cell_length_a 6.8992
_cell_length_b 6.8992
_cell_length_c 12.3524
_cell_angle_alpha 90.00
_cell_angle_beta 90.00
_cell_angle_gamma 90.00
_symmetry_space_group_name_H-M 'I -4 2 d'
_symmetry_Int_Tables_number 122
_symmetry_space_group_name_Hall 'I -4 2bw'
loop_
_atom_site_label
_atom_site_type_symbol
_atom_site_fract_x
_atom_site_fract_y
_atom_site_fract_z
Tl1 Tl 0.0000 0.0000 0.0000
P1 P 0.0000 0.0000 0.5000
Pb1 Pb 0.2108 0.2500 0.6250
# Energy relative to the lowest polymorph listed for this composition (meV per atom): 174
# ΔE_f (eV/atom): 0.25


(5)
# Tl4PPb (GGA-PBE, optimized geometry)
data_Tl4PPb
_chemical_formula_sum 'Tl16 P4 Pb4'
_cell_length_a 8.9846
_cell_length_b 8.9846
_cell_length_c 8.9846
_cell_angle_alpha 90.00
_cell_angle_beta 90.00
_cell_angle_gamma 90.00
_symmetry_space_group_name_H-M 'F -4 3 m'
_symmetry_Int_Tables_number 216
_symmetry_space_group_name_Hall 'F -4 2 3'
loop_
_atom_site_label
_atom_site_type_symbol
_atom_site_fract_x
_atom_site_fract_y
_atom_site_fract_z
Tl1 Tl 0.1245 0.1245 0.1245
P1 P 0.2500 0.2500 0.7500
Pb1 Pb 0.0000 0.0000 0.5000
# ΔE_f (eV/atom): 0.40


(6)
# Tl2PPb (GGA-PBE, optimized geometry)
data_Tl2PPb
_chemical_formula_sum 'Tl2 P1 Pb1'
_cell_length_a 3.3895
_cell_length_b 4.8590
_cell_length_c 6.6617
_cell_angle_alpha 90.00
_cell_angle_beta 96.51
_cell_angle_gamma 90.00
_symmetry_space_group_name_H-M 'P 1 2/m 1'
_symmetry_Int_Tables_number 10
_symmetry_space_group_name_Hall '-P 2y'
loop_
_atom_site_label
_atom_site_type_symbol
_atom_site_fract_x
_atom_site_fract_y
_atom_site_fract_z
Tl1 Tl 0.1130 0.0000 0.2731
P1 P 0.5000 0.5000 0.5000
Pb1 Pb 0.5000 0.5000 0.0000
# Energy relative to the lowest polymorph listed for this composition (meV per atom): 195
# ΔE_f (eV/atom): 0.28


(7)
# TlP2Pb (GGA-PBE, optimized geometry)
data_TlP2Pb
_chemical_formula_sum 'Tl1 P2 Pb1'
_cell_length_a 3.9799
_cell_length_b 4.4805
_cell_length_c 6.4262
_cell_angle_alpha 90.00
_cell_angle_beta 107.47
_cell_angle_gamma 90.00
_symmetry_space_group_name_H-M 'P 1 m 1'
_symmetry_Int_Tables_number 6
_symmetry_space_group_name_Hall 'P -2y'
loop_
_atom_site_label
_atom_site_type_symbol
_atom_site_fract_x
_atom_site_fract_y
_atom_site_fract_z
Tl1 Tl 0.0000 0.0000 0.0000
P1 P 0.6128 0.5000 0.2316
P2 P 0.6866 0.0000 0.3832
Pb1 Pb 0.2691 0.5000 0.5529
# Energy relative to the lowest polymorph listed for this composition (meV per atom): 148
# ΔE_f (eV/atom): 0.23


(8)
# TlP2Pb2 (GGA-PBE, optimized geometry)
data_TlP2Pb2
_chemical_formula_sum 'Tl2 P4 Pb4'
_cell_length_a 5.2645
_cell_length_b 5.2645
_cell_length_c 10.3701
_cell_angle_alpha 90.00
_cell_angle_beta 90.00
_cell_angle_gamma 90.00
_symmetry_space_group_name_H-M 'I 4/m m m'
_symmetry_Int_Tables_number 139
_symmetry_space_group_name_Hall '-I 4 2'
loop_
_atom_site_label
_atom_site_type_symbol
_atom_site_fract_x
_atom_site_fract_y
_atom_site_fract_z
Tl1 Tl 0.0000 0.0000 0.0000
P1 P 0.0000 0.5000 0.2500
Pb1 Pb 0.0000 0.0000 0.3450
# Energy relative to the lowest polymorph listed for this composition (meV per atom): 124
# ΔE_f (eV/atom): 0.27


(9)
# TlP2Pb (GGA-PBE, optimized geometry)
data_TlP2Pb
_chemical_formula_sum 'Tl2 P4 Pb2'
_cell_length_a 10.1984
_cell_length_b 3.3122
_cell_length_c 6.4879
_cell_angle_alpha 90.00
_cell_angle_beta 113.50
_cell_angle_gamma 90.00
_symmetry_space_group_name_H-M 'C 1 m 1'
_symmetry_Int_Tables_number 8
_symmetry_space_group_name_Hall 'C -2y'
loop_
_atom_site_label
_atom_site_type_symbol
_atom_site_fract_x
_atom_site_fract_y
_atom_site_fract_z
Tl1 Tl 0.0000 0.0000 0.0000
P1 P 0.2667 0.5000 0.3296
P2 P 0.4200 0.0000 0.3494
Pb1 Pb 0.1805 0.0000 0.6504
# Energy relative to the lowest polymorph listed for this composition (meV per atom): 79
# ΔE_f (eV/atom): 0.16


(10)
# Tl2PPb (GGA-PBE, optimized geometry)
data_Tl2PPb
_chemical_formula_sum 'Tl2 P1 Pb1'
_cell_length_a 3.9713
_cell_length_b 3.8975
_cell_length_c 7.8739
_cell_angle_alpha 90.00
_cell_angle_beta 104.58
_cell_angle_gamma 90.00
_symmetry_space_group_name_H-M 'P 1 m 1'
_symmetry_Int_Tables_number 6
_symmetry_space_group_name_Hall 'P -2y'
loop_
_atom_site_label
_atom_site_type_symbol
_atom_site_fract_x
_atom_site_fract_y
_atom_site_fract_z
Tl1 Tl 0.0000 0.0000 0.0000
Tl2 Tl 0.3558 0.5000 0.6964
P1 P 0.1472 0.5000 0.2854
Pb1 Pb 0.7079 0.0000 0.4067
# Energy relative to the lowest polymorph listed for this composition (meV per atom): 20
# ΔE_f (eV/atom): 0.10


(11)
# Tl2P2Pb (GGA-PBE, optimized geometry)
data_Tl2P2Pb
_chemical_formula_sum 'Tl4 P4 Pb2'
_cell_length_a 3.3404
_cell_length_b 3.3404
_cell_length_c 23.1716
_cell_angle_alpha 90.00
_cell_angle_beta 90.00
_cell_angle_gamma 90.00
_symmetry_space_group_name_H-M 'I 4/m m m'
_symmetry_Int_Tables_number 139
_symmetry_space_group_name_Hall '-I 4 2'
loop_
_atom_site_label
_atom_site_type_symbol
_atom_site_fract_x
_atom_site_fract_y
_atom_site_fract_z
Tl1 Tl 0.0000 0.0000 0.1240
P1 P 0.0000 0.5000 0.2500
Pb1 Pb 0.0000 0.0000 0.5000
# Energy relative to the lowest polymorph listed for this composition (meV per atom): 0
# ΔE_f (eV/atom): 0.16


(12)
# TlPPb2 (GGA-PBE, optimized geometry)
data_TlPPb2
_chemical_formula_sum 'Tl2 P2 Pb4'
_cell_length_a 4.5747
_cell_length_b 4.5747
_cell_length_c 10.4908
_cell_angle_alpha 90.00
_cell_angle_beta 90.00
_cell_angle_gamma 90.00
_symmetry_space_group_name_H-M 'I -4 m 2'
_symmetry_Int_Tables_number 119
_symmetry_space_group_name_Hall 'I -4 -2'
loop_
_atom_site_label
_atom_site_type_symbol
_atom_site_fract_x
_atom_site_fract_y
_atom_site_fract_z
Tl1 Tl 0.0000 0.0000 0.0000
P1 P 0.0000 0.5000 0.7500
Pb1 Pb 0.0000 0.0000 0.5000
Pb2 Pb 0.0000 0.5000 0.2500
# Energy relative to the lowest polymorph listed for this composition (meV per atom): 160
# ΔE_f (eV/atom): 0.24


(13)
# Tl2PPb (GGA-PBE, optimized geometry)
data_Tl2PPb
_chemical_formula_sum 'Tl4 P2 Pb2'
_cell_length_a 11.8596
_cell_length_b 3.8638
_cell_length_c 5.8792
_cell_angle_alpha 90.00
_cell_angle_beta 118.77
_cell_angle_gamma 90.00
_symmetry_space_group_name_H-M 'C 1 m 1'
_symmetry_Int_Tables_number 8
_symmetry_space_group_name_Hall 'C -2y'
loop_
_atom_site_label
_atom_site_type_symbol
_atom_site_fract_x
_atom_site_fract_y
_atom_site_fract_z
Tl1 Tl 0.0000 0.0000 0.0000
Tl2 Tl 0.1889 0.0000 0.7196
P1 P 0.4793 0.0000 0.3521
Pb1 Pb 0.3121 0.5000 0.3429
# Energy relative to the lowest polymorph listed for this composition (meV per atom): 9
# ΔE_f (eV/atom): 0.09


(14)
# Tl2PPb (GGA-PBE, optimized geometry)
data_Tl2PPb
_chemical_formula_sum 'Tl2 P1 Pb1'
_cell_length_a 3.7572
_cell_length_b 3.7572
_cell_length_c 7.9307
_cell_angle_alpha 90.00
_cell_angle_beta 90.00
_cell_angle_gamma 90.00
_symmetry_space_group_name_H-M 'P 4 m m'
_symmetry_Int_Tables_number 99
_symmetry_space_group_name_Hall 'P 4 -2'
loop_
_atom_site_label
_atom_site_type_symbol
_atom_site_fract_x
_atom_site_fract_y
_atom_site_fract_z
Tl1 Tl 0.0000 0.0000 0.0000
Tl2 Tl 0.5000 0.5000 0.3075
P1 P 0.0000 0.0000 0.5469
Pb1 Pb 0.5000 0.5000 0.7133
# Energy relative to the lowest polymorph listed for this composition (meV per atom): 50
# ΔE_f (eV/atom): 0.13


no.,V (Å³ per cell)
1,220
2,99
3,107
4,588
5,725
6,109
7,109
8,287
9,201
10,118
11,259
12,220
13,236
14,112